# NaTl3Cr2O8 | the Alexandria database | PBE+U | optimized geometry
data_NaTl3Cr2O8
_chemical_formula_sum 'Na1 Tl3 Cr2 O8'
_cell_length_a 6.0108
_cell_length_b 6.0108
_cell_length_c 7.7857
_cell_angle_alpha 90.00
_cell_angle_beta 90.00
_cell_angle_gamma 120.00
_space_group_name_H-M_alt 'P -3 m 1'
_space_group_IT_number 164
_space_group_name_Hall '-P 3 2"'
loop_
_atom_site_label
_atom_site_fract_x
_atom_site_fract_y
_atom_site_fract_z
Na1 0.0000 0.0000 0.0000
Tl1 0.0000 0.0000 0.5000
Tl2 0.3333 0.6667 0.1752
Cr1 0.3333 0.6667 0.7198
O1 0.1815 0.3630 0.7927
O2 0.3333 0.6667 0.5076
# final energy	-5.76	eV per atom
# crystal system	trigonal